Computed, not measured: crystalline RbTl2ReBr8 at its relaxed geometry at the PBE-GGA level of DFT.

abc: 6.512 8.118 9.600
angles: 90.00 90.01 116.59
Atoms (fractional coordinates):
Rb 0.000 0.000 0.500
Tl 0.500 0.500 0.740
Tl 0.500 0.500 0.260
Re 0.000 0.000 0.000
Br 0.035 0.792 0.184
Br 0.576 0.809 0.000
Br 0.965 0.208 0.184
Br 0.965 0.208 0.816
Br 0.424 0.191 0.000
Br 0.035 0.792 0.816
Br 0.413 0.708 0.500
Br 0.587 0.292 0.500

Results
**M_tot**: 0.165 μB per atom
**Space group**: No. 10
**Density of states at the Fermi level**: 3.39 states/eV/cell
**E_form (uncorrected)**: -0.70 eV per atom
**Calculated volume**: 37.82 Å³ per atom
**ρ**: 4.83 g/cm3


Computed, not measured: crystalline Rb2TlReBr6 at its relaxed geometry at the PBE-GGA level of DFT.

abc: 8.057 8.057 8.057
angles: 60.00 60.00 90.00
Atoms (fractional coordinates):
Re 0.500 0.500 0.000
Tl 0.000 0.000 0.000
Br 0.276 0.276 0.449
Br 0.724 0.724 0.551
Br 0.276 0.276 0.000
Br 0.724 0.724 0.000
Br 0.724 0.276 0.000
Br 0.276 0.724 0.000
Rb 0.750 0.250 0.500
Rb 0.250 0.750 0.500

Results
**M_tot**: 0.200 μB per atom
**Space group**: No. 225
**Density of states at the Fermi level**: 11.23 states/eV/cell
**E_form (uncorrected)**: -0.85 eV per atom
**Calculated volume**: 36.99 Å³ per atom
**ρ**: 4.67 g/cm3


Computed, not measured: crystalline Rb2VReBr6 at its relaxed geometry at the PBE-GGA level of DFT.

abc: 7.541 7.541 7.460
angles: 59.64 59.64 90.00
Atoms (fractional coordinates):
Re 0.000 0.000 0.000
Br 0.249 0.249 0.501
Br 0.751 0.751 0.499
Br 0.248 0.248 0.000
Br 0.752 0.752 0.000
Br 0.752 0.248 0.000
Br 0.248 0.752 0.000
Rb 0.750 0.250 0.500
Rb 0.250 0.750 0.500
V 0.500 0.500 0.000

Results
**M_tot**: 0.364 μB per atom
**Space group**: No. 139
**Density of states at the Fermi level**: 8.28 states/eV/cell
**E_form (uncorrected)**: -0.56 eV per atom
**Calculated volume**: 29.67 Å³ per atom
**ρ**: 4.97 g/cm3


Computed, not measured: crystalline Rb2ZnReBr6 at its relaxed geometry at the PBE-GGA level of DFT.

abc: 7.907 7.907 7.906
angles: 60.00 60.00 90.00
Atoms (fractional coordinates):
Re 0.000 0.000 0.000
Zn 0.500 0.500 0.000
Br 0.229 0.229 0.541
Br 0.771 0.771 0.459
Br 0.229 0.229 0.000
Br 0.771 0.771 0.000
Br 0.771 0.229 0.000
Br 0.229 0.771 0.000
Rb 0.750 0.250 0.500
Rb 0.250 0.750 0.500

Results
**M_tot**: 0.300 μB per atom
**Space group**: No. 225
**Density of states at the Fermi level**: 1.40 states/eV/cell
**E_form (uncorrected)**: -0.76 eV per atom
**Calculated volume**: 34.95 Å³ per atom
**ρ**: 4.29 g/cm3


Computed, not measured: crystalline Rb2ZrReBr6 at its relaxed geometry at the PBE-GGA level of DFT.

abc: 7.557 7.557 7.531
angles: 59.89 59.89 90.00
Atoms (fractional coordinates):
Re 0.000 0.000 0.000
Br 0.244 0.244 0.513
Br 0.756 0.756 0.487
Br 0.243 0.243 0.000
Br 0.757 0.757 0.000
Br 0.757 0.243 0.000
Br 0.243 0.757 0.000
Rb 0.750 0.250 0.500
Rb 0.250 0.750 0.500
Zr 0.500 0.500 0.000

Results
**M_tot**: 0.100 μB per atom
**Space group**: No. 139
**Density of states at the Fermi level**: 8.41 states/eV/cell
**E_form (uncorrected)**: -0.72 eV per atom
**Calculated volume**: 30.31 Å³ per atom
**ρ**: 5.08 g/cm3


Computed, not measured: crystalline Rb3RhBr at its relaxed geometry at the PBE-GGA level of DFT.

abc: 6.081 6.081 6.081
angles: 90.00 90.00 90.00
Atoms (fractional coordinates):
Rh 0.000 0.000 0.000
Br 0.500 0.500 0.500
Rb 0.000 0.500 0.000
Rb 0.000 0.000 0.500
Rb 0.500 0.000 0.000

Results
**M_tot**: 0.074 μB per atom
**Space group**: No. 221
**Density of states at the Fermi level**: 2.79 states/eV/cell
**E_form (uncorrected)**: -0.11 eV per atom
**Calculated volume**: 44.98 Å³ per atom
**ρ**: 3.24 g/cm3


Computed, not measured: crystalline RbRhBr2 at its relaxed geometry at the PBE-GGA level of DFT.

abc: 5.346 5.346 5.346
angles: 60.00 60.00 60.00
Atoms (fractional coordinates):
Rh 0.500 0.500 0.500
Br 0.250 0.250 0.250
Br 0.750 0.750 0.750
Rb 0.000 0.000 0.000

Results
**M_tot**: 0.500 μB per atom
**Space group**: No. 225
**Density of states at the Fermi level**: 3.77 states/eV/cell
**E_form (uncorrected)**: -0.17 eV per atom
**Calculated volume**: 27.01 Å³ per atom
**ρ**: 5.35 g/cm3
**Energy above the most stable polymorph in this dataset**: 310 meV/atom


Computed, not measured: crystalline Rb3RhBr8 at its relaxed geometry at the PBE-GGA level of DFT.

abc: 8.575 8.575 8.441
angles: 120.53 120.53 90.00
Atoms (fractional coordinates):
Rb 0.750 0.250 0.500
Rb 0.500 0.500 0.000
Rb 0.250 0.750 0.500
Rh 0.000 0.000 0.000
Br 0.326 0.326 0.265
Br 0.326 0.939 0.265
Br 0.061 0.674 0.735
Br 0.061 0.061 0.735
Br 0.939 0.939 0.265
Br 0.939 0.326 0.265
Br 0.674 0.061 0.735
Br 0.674 0.674 0.735

Results
**M_tot**: 0.000 μB per atom
**Space group**: No. 139
**Density of states at the Fermi level**: 3.28 states/eV/cell
**E_form (uncorrected)**: -0.71 eV per atom
**Calculated volume**: 35.99 Å³ per atom
**ρ**: 3.84 g/cm3


Computed, not measured: crystalline RbRh2Br at its relaxed geometry at the PBE-GGA level of DFT.

abc: 5.221 5.221 9.063
angles: 73.26 73.26 90.00
Atoms (fractional coordinates):
Rh 0.375 0.125 0.250
Rh 0.375 0.625 0.250
Rh 0.375 0.625 0.750
Rh 0.875 0.625 0.750
Br 0.500 0.500 0.000
Br 0.250 0.750 0.500
Rb 0.000 0.000 0.000
Rb 0.750 0.250 0.500

Results
**M_tot**: 0.057 μB per atom
**Space group**: No. 141
**Density of states at the Fermi level**: 8.03 states/eV/cell
**E_form (uncorrected)**: 0.29 eV per atom
**Calculated volume**: 28.20 Å³ per atom
**ρ**: 5.46 g/cm3
**Energy above the most stable polymorph in this dataset**: 0 meV/atom


Computed, not measured: crystalline Rb2RhBr5 at its relaxed geometry at the PBE-GGA level of DFT.

abc: 5.065 8.640 8.105
angles: 117.67 90.01 107.23
Atoms (fractional coordinates):
Rb 0.387 0.681 0.355
Rb 0.728 0.354 0.691
Rh 0.058 0.019 0.024
Br 0.932 0.770 0.117
Br 0.183 0.266 0.372
Br 0.934 0.774 0.682
Br 0.185 0.270 0.925
Br 0.594 0.089 0.058

Results
**M_tot**: 0.000 μB per atom
**Space group**: No. 1
**Density of states at the Fermi level**: 5.58 states/eV/cell
**E_form (uncorrected)**: -1.00 eV per atom
**Calculated volume**: 37.01 Å³ per atom
**ρ**: 3.78 g/cm3
**Energy above the most stable polymorph in this dataset**: 26 meV/atom


Computed, not measured: crystalline RbRhBr2 at its relaxed geometry at the PBE-GGA level of DFT.

abc: 6.411 6.411 8.459
angles: 67.73 67.73 90.00
Atoms (fractional coordinates):
Rh 0.000 0.000 0.000
Rh 0.750 0.250 0.500
Br 0.752 0.125 0.250
Br 0.998 0.625 0.250
Br 0.375 0.248 0.750
Br 0.875 0.002 0.750
Rb 0.500 0.500 0.000
Rb 0.250 0.750 0.500

Results
**M_tot**: 0.000 μB per atom
**Space group**: No. 122
**Density of states at the Fermi level**: 4.20 states/eV/cell
**E_form (uncorrected)**: -0.48 eV per atom
**Calculated volume**: 36.69 Å³ per atom
**ρ**: 3.94 g/cm3
**Energy above the most stable polymorph in this dataset**: 0 meV/atom


Computed, not measured: crystalline Rb2RhBr5 at its relaxed geometry at the PBE-GGA level of DFT.

abc: 7.332 7.332 7.332
angles: 97.56 115.73 115.73
Atoms (fractional coordinates):
Rb 0.500 0.243 0.743
Rb 0.500 0.743 0.243
Rh 0.000 0.010 0.010
Br 0.548 0.766 0.766
Br 0.000 0.766 0.218
Br 0.000 0.218 0.766
Br 0.452 0.218 0.218
Br 0.000 0.258 0.258

Results
**M_tot**: 0.000 μB per atom
**Space group**: No. 107
**E_form (uncorrected)**: -1.02 eV per atom
**Calculated volume**: 36.74 Å³ per atom
**ρ**: 3.80 g/cm3
**Energy above the most stable polymorph in this dataset**: 0 meV/atom